TaCdAsO5 PBE relaxed; energy relative to the elements, uncorrected = -1.813 eV per atom; symmetry = No. 15
1.0
3.814 -4.528 0.000
3.814 4.528 0.000
-3.608 0.000 6.831
Ta Cd As O
2 2 2 10
Direct
0.000 0.500 0.000
0.500 0.000 0.500
0.070 0.930 0.750
0.930 0.070 0.250
0.431 0.569 0.750
0.569 0.431 0.250
0.187 0.251 0.017
0.195 0.623 0.851
0.251 0.187 0.517
0.258 0.742 0.250
0.377 0.805 0.649
0.623 0.195 0.351
0.742 0.258 0.750
0.749 0.813 0.483
0.805 0.377 0.149
0.813 0.749 0.983